The following is a DFT calculation (GGA-PBE) of an optimized crystal structure of CdPd12Au7.

CIF file:
```
data_CdPd12Au7
_cell_length_a 9.8771
_cell_length_b 9.8771
_cell_length_c 12.2642
_cell_angle_alpha 90.00
_cell_angle_beta 90.00
_cell_angle_gamma 120.00
_symmetry_space_group_name_H-M 'R -3'
_symmetry_Int_Tables_number 148
_symmetry_space_group_name_Hall '-R 3'
loop_
_atom_site_label
_atom_site_type_symbol
_atom_site_fract_x
_atom_site_fract_y
_atom_site_fract_z
Cd1 Cd 0.0000 0.0000 0.0000
Pd1 Pd 0.0264 0.5743 0.7066
Pd2 Pd 0.0568 0.4640 0.0869
Au1 Au 0.0000 0.0000 0.5000
Au2 Au 0.0420 0.8544 0.8013
```

Computed properties:
Spin magnetization = 0.000 μB/atom
ΔE_f = 0.038 eV per atom



The following is a DFT calculation (GGA-PBE) of an optimized crystal structure of Na2CaSnS.

CIF file:
```
data_Na2CaSnS
_cell_length_a 5.080
_cell_length_b 5.080
_cell_length_c 6.094
_cell_angle_alpha 90.00
_cell_angle_beta 90.00
_cell_angle_gamma 90.00
_symmetry_space_group_name_H-M 'P 4/m m m'
_symmetry_Int_Tables_number 123
_symmetry_space_group_name_Hall '-P 4 2'
loop_
_atom_site_label
_atom_site_type_symbol
_atom_site_fract_x
_atom_site_fract_y
_atom_site_fract_z
Na1 Na 0.000 0.500 0.000
Ca1 Ca 0.000 0.000 0.500
Sn1 Sn 0.500 0.500 0.500
S1 S 0.500 0.500 0.000
```

Computed properties:
Spin magnetization = 0.000 μB/atom
Formation energy (no corrections) = -0.34 eV per atom